No. 1
Below is PmHoPu2N4 after structural relaxation, with properties calculated at the PBE-GGA level.

Values from the calculation:
Total moment, μB per atom: 0.038
Density of states at the Fermi level, states/eV/f.u.: 14.4
Volume, Å³ per atom: 15.114
Uncorrected formation energy, meV per atom: -1375

Cell lengths 6.0591, 3.4988, 6.0694 Å; angles 90.00, 110.00, 90.00 degrees
Positions (direct):
Pm: 0.0000 0.0000 0.0000
Ho: 0.0000 0.5000 0.5000
Pu: 0.5000 0.0000 0.5000
Pu: 0.5000 0.5000 0.0000
N: 0.2608 0.0000 0.7497
N: 0.2662 0.5000 0.2689
N: 0.7338 0.5000 0.7311
N: 0.7392 0.0000 0.2503

No. 2
Below is Pm2HoSbN4 after structural relaxation, with properties calculated at the PBE-GGA level.

Values from the calculation:
Total moment, μB per atom: 0.000
Density of states at the Fermi level, states/eV/f.u.: 0.4
Volume, Å³ per atom: 15.885
Uncorrected formation energy, meV per atom: -939

Cell lengths 6.1332, 3.5522, 6.1837 Å; angles 90.00, 109.39, 90.00 degrees
Positions (direct):
Pm: 0.0000 0.0000 0.0000
Pm: 0.0000 0.5000 0.5000
Ho: 0.5000 0.0000 0.5000
Sb: 0.5000 0.5000 0.0000
N: 0.2468 0.0000 0.7390
N: 0.2534 0.5000 0.2602
N: 0.7466 0.5000 0.7398
N: 0.7532 0.0000 0.2610

No. 3
Below is PmHo2SbN4 after structural relaxation, with properties calculated at the PBE-GGA level.

Values from the calculation:
Total moment, μB per atom: 0.000
Density of states at the Fermi level, states/eV/f.u.: 0.3
Volume, Å³ per atom: 15.992
Uncorrected formation energy, meV per atom: -840

Cell lengths 6.9212, 6.9212, 11.4711 Å; angles 90.00, 90.00, 152.25 degrees
Positions (direct):
Pm: 0.2382 0.7618 0.7500
Pm: 0.7618 0.2382 0.2500
Ho: 0.3686 0.6314 0.0038
Ho: 0.3686 0.6314 0.4962
Ho: 0.6314 0.3686 0.5038
Ho: 0.6314 0.3686 0.9962
Sb: 0.0130 0.9870 0.2500
Sb: 0.9870 0.0130 0.7500
N: 0.0000 0.0000 0.0000
N: 0.0000 0.0000 0.5000
N: 0.2119 0.7881 0.1063
N: 0.2119 0.7881 0.3937
N: 0.4099 0.5901 0.2500
N: 0.5901 0.4099 0.7500
N: 0.7881 0.2119 0.6063
N: 0.7881 0.2119 0.8937

No. 4
Below is PmHoSeN after structural relaxation, with properties calculated at the PBE-GGA level.

Values from the calculation:
Total moment, μB per atom: 0.000
Density of states at the Fermi level, states/eV/f.u.: 0.9
Volume, Å³ per atom: 19.793
Uncorrected formation energy, meV per atom: -1677

Cell lengths 6.9665, 6.9665, 6.9665 Å; angles 30.92, 30.92, 30.92 degrees
Positions (direct):
Pm: 0.0000 0.0000 0.0000
Ho: 0.5334 0.5334 0.5334
Se: 0.7699 0.7699 0.7699
N: 0.2607 0.2607 0.2607

The lowest density of states at the Fermi level belongs to which entry?
PmHo2SbN4

Which formula does entry 4 have?
PmHoSeN